LiYHg2, relaxed, DFT PBE; energy relative to the lowest polymorph listed for this composition = 1.17 kcal/mol of atoms; magnetic moment = 0.00 μB/atom
1.0
7.2805 0.0000 0.0000
0.0000 7.2805 0.0000
0.0000 0.0000 3.5312
Li Y Hg
2 2 4
Direct
0.2500 0.2500 0.0022 Li
0.7500 0.7500 0.9978 Li
0.2500 0.7500 0.0000 Y
0.7500 0.2500 0.0000 Y
0.0000 0.0000 0.5000 Hg
0.0000 0.5000 0.5000 Hg
0.5000 0.0000 0.5000 Hg
0.5000 0.5000 0.5000 Hg